Record 1
The following is a DFT calculation (PBE) of Pr2Ho3Tm7 after structural relaxation.

Calculated values
- ΔH_f (0 K): 88.0 meV/atom
- E above lowest polymorph: 0 meV/atom

Unit cell a=3.4950 b=6.2903 c=17.7723 alpha=75.65 beta=90.00 gamma=90.00
Atoms (fractional coordinates):
Ho1 0.5000 0.5000 0.0000
Ho2 0.0000 0.8917 0.6571
Ho3 0.0000 0.1083 0.3429
Tm1 0.5000 0.0625 0.1654
Tm2 0.5000 0.2433 0.5006
Tm3 0.5000 0.9375 0.8346
Tm4 0.0000 0.4377 0.8383
Tm5 0.5000 0.7567 0.4994
Tm6 0.0000 0.0000 0.0000
Tm7 0.0000 0.5623 0.1617
Pr1 0.5000 0.6144 0.3255
Pr2 0.5000 0.3856 0.6745

Record 2
The following is a DFT calculation (PBE) of Tb7Pr3Nd2 after structural relaxation.

Calculated values
- ΔH_f (0 K): 81.2 meV/atom

Unit cell a=3.5713 b=6.4288 c=18.2311 alpha=75.73 beta=90.00 gamma=90.00
Atoms (fractional coordinates):
Nd1 0.5000 0.3810 0.6729
Nd2 0.5000 0.6190 0.3271
Tb1 0.5000 0.7544 0.5002
Tb2 0.5000 0.2456 0.4998
Tb3 0.5000 0.0605 0.1650
Tb4 0.0000 0.0000 0.0000
Tb5 0.5000 0.9395 0.8350
Tb6 0.0000 0.4352 0.8358
Tb7 0.0000 0.5648 0.1642
Pr1 0.0000 0.1147 0.3399
Pr2 0.0000 0.8853 0.6601
Pr3 0.5000 0.5000 0.0000

Record 3
The following is a DFT calculation (PBE) of U2MnTl2Se6 after structural relaxation.

Calculated values
- Raw total energy: -6.0475 eV/atom

Unit cell a=7.0059 b=7.0059 c=8.2271 alpha=98.26 beta=98.26 gamma=119.99
Atoms (fractional coordinates):
U1 0.3335 0.6665 0.5000
U2 0.6665 0.3335 0.5000
Tl1 0.8315 0.1685 0.0000
Tl2 0.1685 0.8315 0.0000
Se1 0.7468 0.7468 0.6952
Se2 0.0671 0.3932 0.6989
Se3 0.2532 0.2532 0.3048
Se4 0.3932 0.0671 0.6989
Se5 0.6068 0.9329 0.3011
Se6 0.9329 0.6068 0.3011
Mn1 0.0000 0.0000 0.5000

Record 4
The following is a DFT calculation (PBE) of CsNaCO3 after structural relaxation.

Calculated values
- Raw total energy: -6.0493 eV/atom

Unit cell a=5.9148 b=5.9148 c=6.4743 alpha=90.00 beta=90.00 gamma=120.00
Atoms (fractional coordinates):
O1 0.2054 0.4108 0.2500
O2 0.4108 0.2054 0.7500
O3 0.7946 0.5892 0.7500
O4 0.5892 0.7946 0.2500
O5 0.2054 0.7946 0.2500
O6 0.7946 0.2054 0.7500
C1 0.3333 0.6667 0.2500
C2 0.6667 0.3333 0.7500
Cs1 0.6667 0.3333 0.2500
Cs2 0.3333 0.6667 0.7500
Na1 0.0000 0.0000 0.0000
Na2 0.0000 0.0000 0.5000

Record 5
The following is a DFT calculation (PBE) of KTi2In2O7 after structural relaxation.

Calculated values
- Raw total energy: -6.9464 eV/atom

Unit cell a=3.5385 b=5.5375 c=9.6823 alpha=106.62 beta=100.53 gamma=90.00
Atoms (fractional coordinates):
In1 0.7143 0.2920 0.4287
In2 0.2857 0.8633 0.5713
O1 0.2738 0.2444 0.5476
O2 0.6123 0.0029 0.2246
O3 0.3877 0.7783 0.7754
O4 0.7262 0.6968 0.4524
O5 0.1133 0.5524 0.2266
O6 0.5000 0.5319 0.0000
O7 0.8867 0.3258 0.7734
K1 0.0000 0.0789 0.0000
Ti1 0.3985 0.4650 0.7970
Ti2 0.6015 0.6680 0.2030

Record 6
The following is a DFT calculation (PBE) of Tb4AlGe2 after structural relaxation.

Calculated values
- ΔH_f (0 K): -491.6 meV/atom

Unit cell a=4.7540 b=4.7540 c=10.1410 alpha=76.44 beta=76.44 gamma=60.00
Atoms (fractional coordinates):
Tb1 0.3795 0.3795 0.8614
Tb2 0.2050 0.2050 0.3849
Tb3 0.6205 0.6205 0.1386
Tb4 0.7950 0.7950 0.6151
Ge1 0.0975 0.0975 0.7074
Ge2 0.9025 0.9025 0.2926
Al1 0.0000 0.0000 0.0000

Record 7
The following is a DFT calculation (PBE) of AgPb3 after structural relaxation.

Calculated values
- ΔH_f (0 K): 61.7 meV/atom

Unit cell a=11.3439 b=11.3439 c=11.3439 alpha=17.33 beta=17.33 gamma=17.33
Atoms (fractional coordinates):
Pb1 0.5000 0.5000 0.5000
Pb2 0.7385 0.7385 0.7385
Pb3 0.2615 0.2615 0.2615
Ag1 0.0000 0.0000 0.0000

Record 8
The following is a DFT calculation (PBE) of Cs4CuCl5 after structural relaxation.

Calculated values
- Raw total energy: -3.2244 eV/atom

Unit cell a=6.9848 b=8.1757 c=8.1757 alpha=79.49 beta=64.71 gamma=64.71
Atoms (fractional coordinates):
Cl1 0.9181 0.3304 0.8334
Cl2 0.0820 0.6696 0.1666
Cl3 0.2486 0.8334 0.6696
Cl4 0.4047 0.0000 0.0000
Cl5 0.7515 0.1666 0.3304
Cs1 0.6000 0.6089 0.2037
Cs2 0.2089 0.2037 0.3911
Cs3 0.4126 0.3911 0.7963
Cs4 0.8037 0.7963 0.6089
Cu1 0.0802 0.0000 0.0000

Record 9
The following is a DFT calculation (PBE) of PmNdTh2Pt4 after structural relaxation.

Calculated values
- ΔH_f (0 K): -1147.2 meV/atom

Unit cell a=5.9212 b=5.9212 c=7.2655 alpha=114.06 beta=114.06 gamma=89.96
Atoms (fractional coordinates):
Pt1 0.1862 0.1862 0.4983
Pt2 0.9375 0.4370 0.0000
Pt3 0.6879 0.6879 0.5017
Pt4 0.4370 0.9375 0.0000
Nd1 0.4375 0.4375 0.0000
Th1 0.1871 0.6871 0.5000
Th2 0.6871 0.1871 0.5000
Pm1 0.9369 0.9369 0.0000

Record 10
The following is a DFT calculation (PBE) of AlCuCl2 after structural relaxation.

Calculated values
- E above lowest polymorph: 7 meV/atom

Unit cell a=8.4359 b=8.4359 c=8.4359 alpha=23.04 beta=23.04 gamma=23.04
Atoms (fractional coordinates):
Al1 0.7614 0.7614 0.7614
Cl1 0.2161 0.2161 0.2161
Cl2 0.0293 0.0293 0.0293
Cu1 0.4932 0.4932 0.4932

Record 11
The following is a DFT calculation (PBE) of Ta4SiB after structural relaxation.

Calculated values
- Raw total energy: -10.5026 eV/atom

Unit cell a=5.0085 b=5.9958 c=5.9958 alpha=90.00 beta=90.00 gamma=90.00
Atoms (fractional coordinates):
Ta1 0.5000 0.3518 0.8190
Ta2 0.0000 0.3518 0.1810
Ta3 0.5000 0.1810 0.3518
Ta4 0.5000 0.8190 0.6482
Ta5 0.0000 0.8190 0.3518
Ta6 0.5000 0.6482 0.1810
Ta7 0.0000 0.6482 0.8190
Ta8 0.0000 0.1810 0.6482
B1 0.2500 0.5000 0.5000
B2 0.7500 0.5000 0.5000
Si1 0.7500 0.0000 0.0000
Si2 0.2500 0.0000 0.0000

Record 12
The following is a DFT calculation (PBE) of Rb2TmI4 after structural relaxation.

Calculated values
- Raw total energy: -3.0390 eV/atom

Unit cell a=5.9635 b=5.9635 c=10.2147 alpha=73.03 beta=73.03 gamma=90.00
Atoms (fractional coordinates):
Tm1 0.0000 0.0000 0.0000
I1 0.8352 0.8352 0.3297
I2 0.5000 0.0000 0.0000
I3 0.1648 0.1648 0.6703
I4 0.0000 0.5000 0.0000
Rb1 0.3622 0.3622 0.2755
Rb2 0.6378 0.6378 0.7245